Entry 1:
# Li5Tb3 (PBE, optimized geometry)
data_Li5Tb3
_chemical_formula_sum 'Li10 Tb6'
_symmetry_space_group_name_H-M 'C 1 2/m 1'
_symmetry_Int_Tables_number 12
_symmetry_space_group_name_Hall '-C 2y'
_cell_length_a 5.974
_cell_length_b 3.423
_cell_length_c 20.531
_cell_angle_alpha 90.00
_cell_angle_beta 95.84
_cell_angle_gamma 90.00
loop_
_atom_site_label
_atom_site_type_symbol
_atom_site_fract_x
_atom_site_fract_y
_atom_site_fract_z
Li1 Li 0.000 0.000 0.000
Li2 Li 0.126 0.500 0.888
Li3 Li 0.244 0.500 0.224
Tb1 Tb 0.000 0.500 0.500
Tb2 Tb 0.120 0.000 0.358
# Energy of formation   0.070 eV/atom
# DOS at the Fermi energy   10.365 states/eV per cell
# Calculated volume   26.10 Å³/atom

***

Entry 2:
# Pm5Y2Er4 (PBE, optimized geometry)
data_Pm5Y2Er4
_chemical_formula_sum 'Pm10 Y4 Er8'
_symmetry_space_group_name_H-M 'C 1 2/m 1'
_symmetry_Int_Tables_number 12
_symmetry_space_group_name_Hall '-C 2y'
_cell_length_a 11.886
_cell_length_b 7.031
_cell_length_c 9.003
_cell_angle_alpha 90.00
_cell_angle_beta 102.80
_cell_angle_gamma 90.00
loop_
_atom_site_label
_atom_site_type_symbol
_atom_site_fract_x
_atom_site_fract_y
_atom_site_fract_z
Pm1 Pm 0.000 0.000 0.000
Pm2 Pm 0.054 0.278 0.323
Y1 Y 0.170 0.000 0.659
Er1 Er 0.150 0.500 0.995
Er2 Er 0.208 0.500 0.651
# Energy relative to the lowest polymorph listed for this composition   0.000 eV per formula unit
# Energy of formation   0.167 eV/atom
# DOS at the Fermi energy   29.498 states/eV per cell
# Calculated volume   33.35 Å³/atom

***

Entry 3:
# Li4SiCl (PBE, optimized geometry)
data_Li4SiCl
_chemical_formula_sum 'Li16 Si4 Cl4'
_symmetry_space_group_name_H-M 'F -4 3 m'
_symmetry_Int_Tables_number 216
_symmetry_space_group_name_Hall 'F -4 2 3'
_cell_length_a 7.559
_cell_length_b 7.559
_cell_length_c 7.559
_cell_angle_alpha 90.00
_cell_angle_beta 90.00
_cell_angle_gamma 90.00
loop_
_atom_site_label
_atom_site_type_symbol
_atom_site_fract_x
_atom_site_fract_y
_atom_site_fract_z
Li1 Li 0.122 0.122 0.122
Si1 Si 0.250 0.250 0.750
Cl1 Cl 0.000 0.000 0.500
# DOS at the Fermi energy   11.861 states/eV per cell
# DFT total energy   -58.71 eV for the cell shown
# Calculated volume   17.99 Å³/atom